1.
# Ba2AlCuI (GGA-PBE, optimized geometry)
data_Ba2AlCuI
_space_group_name_H-M_alt 'P 4/m m m'
_space_group_IT_number 123
_space_group_name_Hall '-P 4 2'
_cell_length_a 6.3519
_cell_length_b 6.3519
_cell_length_c 4.6150
_cell_angle_alpha 90.00
_cell_angle_beta 90.00
_cell_angle_gamma 90.00
loop_
_atom_site_label
_atom_site_fract_x
_atom_site_fract_y
_atom_site_fract_z
Ba1 0.0000 0.5000 0.0000
Al1 0.0000 0.0000 0.5000
Cu1 0.0000 0.0000 0.0000
I1 0.5000 0.5000 0.5000
# ΔE_f (raw): -492 meV per atom
# total moment: 0.0 Bohr magnetons per cell

---

2.
# Zn2BrCl (GGA-PBE, optimized geometry)
data_Zn2BrCl
_space_group_name_H-M_alt 'P 1 2/m 1'
_space_group_IT_number 10
_cell_length_a 5.5671
_cell_length_b 3.5401
_cell_length_c 5.8688
_cell_angle_alpha 90.00
_cell_angle_beta 104.72
_cell_angle_gamma 90.00
loop_
_space_group_symop_operation_xyz
'x,y,z'
'-x,-y,-z'
'-x,y,-z'
'x,-y,z'
loop_
_atom_site_label
_atom_site_fract_x
_atom_site_fract_y
_atom_site_fract_z
Zn1 0.1350 0.0000 0.3713
Br1 0.0000 0.5000 0.0000
Cl1 0.5000 0.5000 0.5000
# energy relative to the lowest polymorph listed for this composition: 0.43 eV per formula unit
# ΔE_f (raw): -506 meV per atom
# total moment: 0.0 Bohr magnetons per cell

---

3.
# LiTi6O12 (GGA-PBE, optimized geometry)
data_LiTi6O12
_space_group_name_H-M_alt 'P 1 c 1'
_space_group_IT_number 7
_cell_length_a 4.9240
_cell_length_b 5.9388
_cell_length_c 14.2511
_cell_angle_alpha 90.00
_cell_angle_beta 92.34
_cell_angle_gamma 90.00
loop_
_space_group_symop_operation_xyz
'x,y,z'
'x,-y,z+1/2'
loop_
_atom_site_label
_atom_site_fract_x
_atom_site_fract_y
_atom_site_fract_z
Li1 0.0000 0.1253 0.0000
Ti1 0.3828 0.3750 0.6196
Ti2 0.4314 0.1265 0.1326
Ti3 0.4579 0.3786 0.9340
Ti4 0.4586 0.1293 0.4351
Ti5 0.9315 0.1248 0.7773
Ti6 0.9311 0.3752 0.2812
O1 0.1143 0.3750 0.7153
O2 0.1181 0.1245 0.2149
O3 0.2264 0.1250 0.8832
O4 0.2284 0.1191 0.5540
O5 0.2288 0.3685 0.0542
O6 0.2416 0.3748 0.3764
O7 0.6187 0.1295 0.6833
O8 0.6187 0.3795 0.1839
O9 0.6207 0.3753 0.5058
O10 0.6283 0.1250 0.0080
O11 0.7437 0.1220 0.3464
O12 0.7467 0.3724 0.8477
# energy relative to the lowest polymorph listed for this composition: 0.00 eV per formula unit
# ΔE_f (raw): -2931 meV per atom
# total moment: 2.1 Bohr magnetons per cell

---

4.
# RbNbTeBr (GGA-PBE, optimized geometry)
data_RbNbTeBr
_space_group_name_H-M_alt 'C 1 m 1'
_space_group_IT_number 8
_cell_length_a 7.0341
_cell_length_b 3.6848
_cell_length_c 9.0835
_cell_angle_alpha 90.00
_cell_angle_beta 95.07
_cell_angle_gamma 90.00
loop_
_space_group_symop_operation_xyz
'x,y,z'
'x,-y,z'
'x+1/2,y+1/2,z'
'x+1/2,-y+1/2,z'
loop_
_atom_site_label
_atom_site_fract_x
_atom_site_fract_y
_atom_site_fract_z
Rb1 0.0000 0.0000 0.0000
Nb1 0.0611 0.0000 0.4908
Te1 0.2234 0.5000 0.3085
Br1 0.1524 0.5000 0.7159
# energy relative to the lowest polymorph listed for this composition: 0.34 eV per formula unit
# ΔE_f (raw): -425 meV per atom
# total moment: 0.0 Bohr magnetons per cell

---

| no. | density of states at the Fermi level (states/eV/cell) | VASP energy (eV per atom) |
| --- | --- | --- |
| 1 | 3.83 | -3.139 |
| 2 | 0.28 | -2.023 |
| 3 | 12.22 | -8.656 |
| 4 | 4.80 | -4.388 |